Tb2CeCd5 | GGA-PBE | optimized geometry

Lattice parameters (Å, degrees): 8.3277 8.3277 8.3277 143.41 143.41 52.70
Fractional coordinates of all 8 atoms:
Tb 0.2359 0.2359 0.0000
Tb 0.7641 0.7641 0.0000
Ce 0.5000 0.5000 0.0000
Cd 0.0000 0.0000 0.0000
Cd 0.1225 0.6225 0.5000
Cd 0.3775 0.8775 0.5000
Cd 0.6225 0.1225 0.5000
Cd 0.8775 0.3775 0.5000

The energy of formation comes out at -262 meV/atom. As for the space-group type: I4/mmm (139). For the density of states at the Fermi level, the calculation gives 1.27 states/eV/atom.